[1]
Bi2POs after structural relaxation. Source: the Alexandria database, functional PBE-GGA.

Values from the calculation:
As for the magnetic moment: 0.0000 μB/atom. The raw total energy is -41.8 eV for the cell shown. As for the calculated formation energy: 3.51 eV per formula unit. Its symmetry is No. 122. The volume comes out at 121.44 Å³/f.u.

a b c (Å): 7.568 7.568 7.568
angles (deg): 130.80 130.80 72.13
Fractional coordinates of all 8 atoms:
1 Bi 0.107 0.625 0.982
2 Bi 0.375 0.357 0.482
3 Bi 0.643 0.125 0.018
4 Bi 0.875 0.893 0.518
5 P 0.250 0.750 0.500
6 P 0.500 0.500 0.000
7 Os 0.000 0.000 0.000
8 Os 0.750 0.250 0.500

***

[2]
BiP2Os after structural relaxation. Source: the Alexandria database, functional PBE-GGA.

Values from the calculation:
As for the magnetic moment: 0.0000 μB/atom. The raw total energy is -50.6 eV for the cell shown. As for the calculated formation energy: 0.64 eV per formula unit. Its symmetry is No. 122. The volume comes out at 95.82 Å³/f.u.

a b c (Å): 6.820 6.820 6.820
angles (deg): 127.93 127.93 76.74
Fractional coordinates of all 8 atoms:
1 Bi 0.000 0.000 0.000
2 Bi 0.750 0.250 0.500
3 P 0.203 0.625 0.078
4 P 0.375 0.453 0.578
5 P 0.547 0.125 0.922
6 P 0.875 0.797 0.422
7 Os 0.250 0.750 0.500
8 Os 0.500 0.500 0.000

***

[3]
BiPOsRh2 after structural relaxation. Source: the Alexandria database, functional PBE-GGA.

Values from the calculation:
As for the magnetic moment: 0.0000 μB/atom. The raw total energy is -28.3 eV for the cell shown. As for the calculated formation energy: 6.93 eV per formula unit. Its symmetry is No. 123. The volume comes out at 116.91 Å³/f.u.

a b c (Å): 4.712 4.712 5.266
angles (deg): 90.00 90.00 90.00
Fractional coordinates of all 5 atoms:
1 Bi 0.000 0.000 0.000
2 P 0.500 0.500 0.000
3 Os 0.000 0.000 0.500
4 Rh 0.000 0.500 0.500
5 Rh 0.500 0.000 0.500

***

[4]
BiP2OsS after structural relaxation. Source: the Alexandria database, functional PBE-GGA.

Values from the calculation:
As for the magnetic moment: 0.0000 μB/atom. The raw total energy is -27.7 eV for the cell shown. Its symmetry is No. 123. The formation energy (no corrections) is 0.466 eV per atom. The volume comes out at 105.85 Å³/f.u.

a b c (Å): 4.494 4.494 5.241
angles (deg): 90.00 90.00 90.00
Fractional coordinates of all 5 atoms:
1 Bi 0.000 0.000 0.000
2 P 0.000 0.500 0.500
3 P 0.500 0.000 0.500
4 Os 0.500 0.500 0.500
5 S 0.500 0.500 0.000

***

[5]
BiP2OsS after structural relaxation. Source: the Alexandria database, functional PBE-GGA.

Values from the calculation:
As for the magnetic moment: 0.5569 μB/atom. The raw total energy is -19.1 eV for the cell shown. Its symmetry is No. 123. The formation energy (no corrections) is 2.199 eV per atom. The volume comes out at 135.44 Å³/f.u.

a b c (Å): 5.203 5.203 5.003
angles (deg): 90.00 90.00 90.00
Fractional coordinates of all 5 atoms:
1 Bi 0.000 0.000 0.000
2 P 0.000 0.500 0.000
3 P 0.500 0.000 0.000
4 Os 0.500 0.500 0.500
5 S 0.000 0.000 0.500

***

[6]
BiPOsS2 after structural relaxation. Source: the Alexandria database, functional PBE-GGA.

Values from the calculation:
As for the magnetic moment: 0.8184 μB/atom. The raw total energy is -19.0 eV for the cell shown. Its symmetry is No. 123. The formation energy (no corrections) is 1.956 eV per atom. The volume comes out at 136.50 Å³/f.u.

a b c (Å): 5.070 5.070 5.311
angles (deg): 90.00 90.00 90.00
Fractional coordinates of all 5 atoms:
1 Bi 0.000 0.000 0.000
2 P 0.000 0.000 0.500
3 Os 0.500 0.500 0.500
4 S 0.000 0.500 0.000
5 S 0.500 0.000 0.000